1.
Density functional theory data (PBE-GGA) for crystalline MnAg3Rh at its relaxed geometry.

Unit cell a=4.9961 b=4.9961 c=4.9961 alpha=90.00 beta=90.00 gamma=90.00
Last column: magnetic moment on the atom in μB.
Atoms (fractional coordinates):
Ag: 0.0000 0.5000 0.0000  0.01
Ag: 0.5000 0.0000 0.0000  -0.02
Ag: 0.0000 0.0000 0.5000  0.04
Rh: 0.0000 0.0000 0.0000  0.55
Mn: 0.5000 0.5000 0.5000  4.46

Summary:
As for the space group: Pm-3m. The value obtained for the energy above the most stable polymorph in this dataset is 0.0 kJ/mol of formula units. The energy relative to the elements comes out at 1.195 eV/atom.

2.
Density functional theory data (PBE-GGA) for crystalline MnAgRh4 at its relaxed geometry.

Unit cell a=5.1378 b=5.1378 c=5.1378 alpha=60.00 beta=60.00 gamma=60.00
Last column: magnetic moment on the atom in μB.
Atoms (fractional coordinates):
Rh: 0.6250 0.6250 0.6250  -0.27
Rh: 0.6250 0.6250 0.1249  -0.27
Rh: 0.1249 0.6250 0.6250  -0.27
Rh: 0.6250 0.1249 0.6250  -0.27
Ag: 0.2500 0.2500 0.2500  -0.02
Mn: 0.0000 0.0000 0.0000  4.04

Summary:
As for the space group: F-43m. The energy relative to the elements comes out at 0.275 eV/atom.

3.
Density functional theory data (PBE-GGA) for crystalline MnAg2Rh2 at its relaxed geometry.

Unit cell a=3.5509 b=3.5509 c=7.2279 alpha=75.78 beta=75.78 gamma=90.00
Last column: magnetic moment on the atom in μB.
Atoms (fractional coordinates):
Rh: 0.5907 0.5907 0.8187  0.14
Rh: 0.4093 0.4093 0.1813  0.14
Ag: 0.7500 0.2500 0.5000  0.00
Ag: 0.2500 0.7500 0.5000  0.00
Mn: 0.0000 0.0000 0.0000  -0.16

Summary:
As for the space group: I4/mmm. The value obtained for the energy above the most stable polymorph in this dataset is 269.2 kJ/mol of formula units. The energy relative to the elements comes out at 0.902 eV/atom.

4.
Density functional theory data (PBE-GGA) for crystalline MnAg2Rh at its relaxed geometry.

Unit cell a=2.9323 b=2.9323 c=7.5426 alpha=90.00 beta=90.00 gamma=90.05
Last column: magnetic moment on the atom in μB.
Atoms (fractional coordinates):
Rh: 0.5000 0.5000 0.7228  0.31
Ag: 0.0000 0.0000 0.9892  0.01
Ag: 0.5000 0.5000 0.2644  0.04
Mn: 0.0000 0.0000 0.5236  3.65

Summary:
As for the space group: P4mm. The value obtained for the energy above the most stable polymorph in this dataset is 0.0 kJ/mol of formula units. The energy relative to the elements comes out at 0.091 eV/atom.

5.
Density functional theory data (PBE-GGA) for crystalline MnAg2Rh at its relaxed geometry.

Unit cell a=9.4730 b=9.4730 c=9.4730 alpha=17.10 beta=17.10 gamma=17.10
Last column: magnetic moment on the atom in μB.
Atoms (fractional coordinates):
Ag: 0.9991 0.9991 0.9991  0.02
Ag: 0.5009 0.5009 0.5009  0.02
Mn: 0.2500 0.2500 0.2500  3.57
Rh: 0.7500 0.7500 0.7500  0.64

Summary:
As for the space group: R-3m. The value obtained for the energy above the most stable polymorph in this dataset is 87.1 kJ/mol of formula units. The energy relative to the elements comes out at 0.317 eV/atom.

6.
Density functional theory data (PBE-GGA) for crystalline MnAg2Rh at its relaxed geometry.

Unit cell a=3.8739 b=3.8739 c=4.2656 alpha=90.00 beta=90.00 gamma=90.00
Last column: magnetic moment on the atom in μB.
Atoms (fractional coordinates):
Ag: 0.5000 0.5000 0.0000  0.04
Ag: 0.0000 0.0000 0.0000  0.04
Mn: 0.5000 0.0000 0.5000  3.91
Rh: 0.0000 0.5000 0.5000  0.26

Summary:
As for the space group: P4/mmm. The value obtained for the energy above the most stable polymorph in this dataset is 11.5 kJ/mol of formula units. The energy relative to the elements comes out at 0.121 eV/atom.

7.
Density functional theory data (PBE-GGA) for crystalline MnAg4Rh at its relaxed geometry.

Unit cell a=5.3416 b=5.3416 c=5.3416 alpha=60.00 beta=60.00 gamma=60.00
Last column: magnetic moment on the atom in μB.
Atoms (fractional coordinates):
Ag: 0.8753 0.3749 0.3749  0.01
Ag: 0.3749 0.8753 0.3749  0.01
Ag: 0.3749 0.3749 0.3749  0.01
Ag: 0.3749 0.3749 0.8753  0.01
Mn: 0.7500 0.7500 0.7500  4.20
Rh: 0.0000 0.0000 0.0000  0.15

Summary:
As for the space group: F-43m. The energy relative to the elements comes out at 0.421 eV/atom.

8.
Density functional theory data (PBE-GGA) for crystalline TmMnAgRh at its relaxed geometry.

Unit cell a=4.6878 b=4.6878 c=4.6878 alpha=60.00 beta=60.00 gamma=60.00
Last column: magnetic moment on the atom in μB.
Atoms (fractional coordinates):
Rh: 0.0000 0.0000 0.0000  0.34
Mn: 0.7500 0.7500 0.7500  3.92
Tm: 0.2500 0.2500 0.2500  -0.07
Ag: 0.5000 0.5000 0.5000  0.01

Summary:
As for the space group: F-43m. The energy relative to the elements comes out at -0.252 eV/atom.

9.
Density functional theory data (PBE-GGA) for crystalline MnVAg2Rh at its relaxed geometry.

Unit cell a=4.7633 b=4.7633 c=4.2790 alpha=90.00 beta=90.00 gamma=90.00
Last column: magnetic moment on the atom in μB.
Atoms (fractional coordinates):
Ag: 0.0000 0.5000 0.0000  0.00
Ag: 0.5000 0.0000 0.0000  0.00
V: 0.5000 0.5000 0.5000  -0.29
Mn: 0.0000 0.0000 0.0000  0.09
Rh: 0.0000 0.0000 0.5000  0.11

Summary:
As for the space group: P4/mmm. The energy relative to the elements comes out at 1.483 eV/atom.

10.
Density functional theory data (PBE-GGA) for crystalline MnAg2Ru at its relaxed geometry.

Unit cell a=4.4077 b=4.4077 c=4.4077 alpha=60.00 beta=60.00 gamma=60.00
Atoms (fractional coordinates):
Mn: 0.0000 0.0000 0.0000
Ag: 0.2500 0.2500 0.2500
Ag: 0.7500 0.7500 0.7500
Ru: 0.5000 0.5000 0.5000

Summary:
As for the space group: Fm-3m. The value obtained for the energy above the most stable polymorph in this dataset is 280.4 kJ/mol of formula units. The energy relative to the elements comes out at 0.964 eV/atom.

11.
Density functional theory data (PBE-GGA) for crystalline MnAg2Ru at its relaxed geometry.

Unit cell a=2.7671 b=2.7671 c=9.1528 alpha=90.00 beta=90.00 gamma=113.81
Last column: magnetic moment on the atom in μB.
Atoms (fractional coordinates):
Mn: 0.0000 0.0000 0.5166  3.31
Ag: 0.5000 0.5000 0.2639  0.02
Ag: 0.0000 0.0000 0.9930  0.00
Ru: 0.5000 0.5000 0.7265  -0.09

Summary:
As for the space group: Cmm2. The value obtained for the energy above the most stable polymorph in this dataset is 31.5 kJ/mol of formula units. The energy relative to the elements comes out at 0.319 eV/atom.

12.
Density functional theory data (PBE-GGA) for crystalline Mn2AgRu at its relaxed geometry.

Unit cell a=2.6830 b=2.6830 c=8.9452 alpha=90.00 beta=90.00 gamma=114.85
Last column: magnetic moment on the atom in μB.
Atoms (fractional coordinates):
Mn: 0.5000 0.5000 0.2516  2.46
Mn: 0.0000 0.0000 0.0197  3.12
Ag: 0.5000 0.5000 0.7547  0.03
Ru: 0.0000 0.0000 0.4741  -0.18

Summary:
As for the space group: Cmm2. The energy relative to the elements comes out at 0.421 eV/atom.

13.
Density functional theory data (PBE-GGA) for crystalline MnAg2Ru at its relaxed geometry.

Unit cell a=9.5689 b=9.5689 c=9.5689 alpha=16.79 beta=16.79 gamma=16.79
Last column: magnetic moment on the atom in μB.
Atoms (fractional coordinates):
Ag: 0.9990 0.9990 0.9990  0.03
Ag: 0.5010 0.5010 0.5010  0.03
Mn: 0.2500 0.2500 0.2500  3.58
Ru: 0.7500 0.7500 0.7500  0.50

Summary:
As for the space group: R-3m. The value obtained for the energy above the most stable polymorph in this dataset is 94.0 kJ/mol of formula units. The energy relative to the elements comes out at 0.481 eV/atom.

14.
Density functional theory data (PBE-GGA) for crystalline MnAgRu2 at its relaxed geometry.

Unit cell a=4.8170 b=4.8170 c=4.8170 alpha=132.96 beta=132.96 gamma=68.72
Last column: magnetic moment on the atom in μB.
Atoms (fractional coordinates):
Ru: 0.5000 0.5000 0.0000  -0.85
Ru: 0.0000 0.0000 0.0000  -0.85
Ag: 0.2500 0.7500 0.5000  -0.02
Mn: 0.7500 0.2500 0.5000  3.14

Summary:
As for the space group: I4/mmm. The value obtained for the energy above the most stable polymorph in this dataset is 75.1 kJ/mol of formula units. The energy relative to the elements comes out at 0.445 eV/atom.

15.
Density functional theory data (PBE-GGA) for crystalline Mn2AgRu2 at its relaxed geometry.

Unit cell a=7.2645 b=7.2645 c=2.6420 alpha=90.00 beta=90.00 gamma=90.00
Atoms (fractional coordinates):
Ru: 0.6277 0.1277 0.0000
Ru: 0.3723 0.8723 0.0000
Ru: 0.1277 0.3723 0.0000
Ru: 0.8723 0.6277 0.0000
Mn: 0.8377 0.3377 0.5000
Mn: 0.6623 0.8377 0.5000
Mn: 0.3377 0.1623 0.5000
Mn: 0.1623 0.6623 0.5000
Ag: 0.5000 0.5000 0.0000
Ag: 0.0000 0.0000 0.0000

Summary:
As for the space group: P4/mbm. The value obtained for the energy above the most stable polymorph in this dataset is 27.1 kJ/mol of formula units. The energy relative to the elements comes out at 0.335 eV/atom.

16.
Density functional theory data (PBE-GGA) for crystalline MnAgRu2 at its relaxed geometry.

Unit cell a=3.8375 b=3.8375 c=3.9919 alpha=90.00 beta=90.00 gamma=90.00
Last column: magnetic moment on the atom in μB.
Atoms (fractional coordinates):
Ag: 0.5000 0.0000 0.5000  -0.01
Mn: 0.0000 0.5000 0.5000  3.36
Ru: 0.5000 0.5000 0.0000  -0.78
Ru: 0.0000 0.0000 0.0000  -0.78

Summary:
As for the space group: P4/mmm. The value obtained for the energy above the most stable polymorph in this dataset is 64.0 kJ/mol of formula units. The energy relative to the elements comes out at 0.416 eV/atom.

17.
Density functional theory data (PBE-GGA) for crystalline MnAgRu2 at its relaxed geometry.

Unit cell a=3.7905 b=2.7989 c=6.3065 alpha=63.65 beta=90.00 gamma=90.00
Last column: magnetic moment on the atom in μB.
Atoms (fractional coordinates):
Ag: 0.0000 0.4930 0.5067  0.05
Mn: 0.5000 0.7354 0.7648  3.54
Ru: 0.5000 0.2860 0.2141  0.04
Ru: 0.0000 0.9857 0.0144  -0.06

Summary:
As for the space group: Pmm2. The value obtained for the energy above the most stable polymorph in this dataset is 12.1 kJ/mol of formula units. The energy relative to the elements comes out at 0.281 eV/atom.

18.
Density functional theory data (PBE-GGA) for crystalline MnAgRu2 at its relaxed geometry.

Unit cell a=2.6894 b=2.6894 c=9.0915 alpha=90.00 beta=90.00 gamma=115.48
Last column: magnetic moment on the atom in μB.
Atoms (fractional coordinates):
Ag: 0.5000 0.5000 0.2500  0.00
Mn: 0.5000 0.5000 0.7500  2.88
Ru: 0.0000 0.0000 0.5252  -0.18
Ru: 0.0000 0.0000 0.9748  -0.18

Summary:
As for the space group: Cmmm. The value obtained for the energy above the most stable polymorph in this dataset is 47.5 kJ/mol of formula units. The energy relative to the elements comes out at 0.373 eV/atom.

19.
Density functional theory data (PBE-GGA) for crystalline MnAgRu2 at its relaxed geometry.

Unit cell a=4.8990 b=4.8990 c=4.6697 alpha=75.55 beta=75.55 gamma=33.02
Last column: magnetic moment on the atom in μB.
Atoms (fractional coordinates):
Ag: 0.7500 0.7500 0.7500  0.02
Mn: 0.2500 0.2500 0.2500  3.01
Ru: 0.5222 0.5222 0.4742  -0.38
Ru: 0.9778 0.9778 0.0258  -0.38

Summary:
As for the space group: C2/m. The value obtained for the energy above the most stable polymorph in this dataset is 38.0 kJ/mol of formula units. The energy relative to the elements comes out at 0.349 eV/atom.

20.
Density functional theory data (PBE-GGA) for crystalline MnAgRu2 at its relaxed geometry.

Unit cell a=5.2236 b=5.2236 c=5.2236 alpha=147.03 beta=128.97 gamma=62.11
Last column: magnetic moment on the atom in μB.
Atoms (fractional coordinates):
Ru: 0.9987 0.9987 0.0000  0.04
Ru: 0.2366 0.7366 0.5000  -0.01
Ag: 0.5051 0.5051 0.0000  0.02
Mn: 0.7596 0.2596 0.5000  3.48

Summary:
As for the space group: Imm2. The value obtained for the energy above the most stable polymorph in this dataset is 79.0 kJ/mol of formula units. The energy relative to the elements comes out at 0.455 eV/atom.

Values of raw total energy, in order: -3.820; -6.630; -5.013; -5.464; -5.239; -5.435; -4.233; -6.213; -4.786; -5.073; -5.718; -7.195; -5.556; -7.199; -7.613; -7.227; -7.362; -7.270; -7.295; -7.188, all in eV/atom.